Below is a relaxed structure of V2Bi4O11, with properties calculated at the PBE with a Hubbard U level.

## Properties
offset from the most stable computed form	18	meV/atom
electronic total energy	-111.08	eV/f.u.
volume	508	Å³/cell

abc: 5.640 5.689 15.848
angles: 90.00 92.92 90.00
Space group Pc (No. 7)
One atom of each set of equivalent atoms:
V  0.000  0.228  0.000
V  0.463  0.230  0.478
Bi  0.000  0.305  0.319
Bi  0.463  0.305  0.159
Bi  0.510  0.208  0.819
Bi  0.954  0.209  0.659
O  0.126  0.442  0.064
O  0.231  0.001  0.489
O  0.232  0.046  0.239
O  0.232  0.457  0.739
O  0.338  0.445  0.415
O  0.585  0.341  0.573
O  0.674  0.119  0.414
O  0.732  0.472  0.739
O  0.733  0.018  0.239
O  0.789  0.117  0.063
O  0.878  0.340  0.905